[1]
A geometry-optimized Ce2NdDyPb4 structure. Source: Alexandria via LeMat-Bulk, functional PBE.

a = 5.2197 Å, b = 5.2197 Å, c = 31.6173 Å
α = 90.00°, β = 90.00°, γ = 120.00°
Space group R-3m (No. 166, hexagonal axes)
Inequivalent atoms, fractional coordinates:
Ce  0.0000  0.0000  0.2474
Nd  0.0000  0.0000  0.0000
Dy  0.0000  0.0000  0.5000
Pb  0.0000  0.0000  0.1270
Pb  0.0000  0.0000  0.3764

## Properties
calculated total energy = -117.67 eV per cell
ΔE_f = -394 meV per atom


[2]
A geometry-optimized CeNdDyPb structure. Source: Alexandria via LeMat-Bulk, functional PBE.

a = 7.789 Å, b = 7.789 Å, c = 7.789 Å
α = 90.00°, β = 90.00°, γ = 90.00°
Space group F-43m (No. 216)
Inequivalent atoms, fractional coordinates:
Ce  0.000  0.000  0.000
Nd  0.250  0.250  0.250
Dy  0.250  0.250  0.750
Pb  0.000  0.000  0.500

## Properties
calculated total energy = -77.22 eV per cell
ΔE_f = -73 meV per atom


[3]
A geometry-optimized CePmNd6Dy2 structure. Source: Alexandria via LeMat-Bulk, functional PBE.

a = 11.352 Å, b = 7.010 Å, c = 8.951 Å
α = 90.00°, β = 103.08°, γ = 90.00°
Space group C2/m (No. 12)
Inequivalent atoms, fractional coordinates:
Ce  0.000  0.000  0.000
Pm  0.000  0.500  0.500
Nd  0.128  0.000  0.417
Nd  0.171  0.264  0.799
Dy  0.092  0.500  0.159

## Properties
calculated total energy = -92.28 eV per cell
ΔE_f = 235 meV per atom